DFT (GGA-PBE) results for a relaxed structure of Np2GeSe6.

a = 6.4578 Å, b = 6.4578 Å, c = 12.5669 Å
α = 90.00°, β = 90.00°, γ = 90.00°
Atoms (fractional coordinates):
Np  0.0000  0.0000  0.3328
Np  0.5000  0.5000  0.8328
Np  0.5000  0.5000  0.1672
Np  0.0000  0.0000  0.6672
Ge  0.0000  0.0000  0.0000
Ge  0.5000  0.5000  0.5000
Se  0.3033  0.3033  0.3325
Se  0.6967  0.6967  0.3325
Se  0.1967  0.8033  0.8325
Se  0.8033  0.1967  0.8325
Se  0.1967  0.8033  0.1675
Se  0.8033  0.1967  0.1675
Se  0.3033  0.3033  0.6675
Se  0.6967  0.6967  0.6675
Se  0.3056  0.3056  0.0000
Se  0.6944  0.6944  0.0000
Se  0.1944  0.8056  0.5000
Se  0.8056  0.1944  0.5000

Results
uncorrected formation energy = -0.63 eV per atom
space-group type = No. 136